w) # PBE-GGA Ac2BiIr, relaxed
data_Ac2BiIr
_chemical_formula_sum 'Ac8 Bi4 Ir4'
_symmetry_space_group_name_H-M 'P 1 2/c 1'
_symmetry_Int_Tables_number 13
_cell_length_a 6.604
_cell_length_b 6.629
_cell_length_c 14.383
_cell_angle_alpha 90.00
_cell_angle_beta 116.16
_cell_angle_gamma 90.00
loop_
_symmetry_equiv_pos_as_xyz
'x,y,z'
'-x,-y,-z'
'-x,y,-z+1/2'
'x,-y,z+1/2'
loop_
_atom_site_label
_atom_site_fract_x
_atom_site_fract_y
_atom_site_fract_z
Ac1 0.103 0.227 0.106
Ac2 0.332 0.234 0.855
Bi1 0.380 0.266 0.375
Ir1 0.119 0.233 0.625
# * Fermi-level density of states: 0.2734 states/eV per atom


x) # PBE-GGA Ac2BiIr, relaxed
data_Ac2BiIr
_chemical_formula_sum 'Ac8 Bi4 Ir4'
_symmetry_space_group_name_H-M 'F m -3 m'
_symmetry_Int_Tables_number 225
_symmetry_space_group_name_Hall '-F 4 2 3'
_cell_length_a 7.915
_cell_length_b 7.915
_cell_length_c 7.915
_cell_angle_alpha 90.00
_cell_angle_beta 90.00
_cell_angle_gamma 90.00
loop_
_atom_site_label
_atom_site_fract_x
_atom_site_fract_y
_atom_site_fract_z
Ac1 0.250 0.250 0.250
Bi1 0.000 0.000 0.000
Ir1 0.000 0.000 0.500
# * Fermi-level density of states: 0.3250 states/eV per atom


The calculated energies rank the structures as follows, beginning with the most stable: w), x).


w) # PBE-GGA AcBi3Ir, relaxed
data_AcBi3Ir
_chemical_formula_sum 'Ac1 Bi3 Ir1'
_symmetry_space_group_name_H-M 'P m -3 m'
_symmetry_Int_Tables_number 221
_symmetry_space_group_name_Hall '-P 4 2 3'
_cell_length_a 5.459
_cell_length_b 5.459
_cell_length_c 5.459
_cell_angle_alpha 90.00
_cell_angle_beta 90.00
_cell_angle_gamma 90.00
loop_
_atom_site_label
_atom_site_fract_x
_atom_site_fract_y
_atom_site_fract_z
Ac1 0.000 0.000 0.000
Bi1 0.000 0.500 0.500
Ir1 0.500 0.500 0.500
# * Fermi-level density of states: 1.3979 states/eV per atom


x) # PBE-GGA AcBi3Ir, relaxed
data_AcBi3Ir
_chemical_formula_sum 'Ac2 Bi6 Ir2'
_symmetry_space_group_name_H-M 'P m n 21'
_symmetry_Int_Tables_number 31
_cell_length_a 7.152
_cell_length_b 6.434
_cell_length_c 6.623
_cell_angle_alpha 90.00
_cell_angle_beta 90.00
_cell_angle_gamma 90.00
loop_
_symmetry_equiv_pos_as_xyz
'x,y,z'
'-x+1/2,-y,z+1/2'
'-x,y,z'
'x+1/2,-y,z+1/2'
loop_
_atom_site_label
_atom_site_fract_x
_atom_site_fract_y
_atom_site_fract_z
Ac1 0.000 0.151 0.000
Bi1 0.000 0.881 0.542
Bi2 0.239 0.329 0.449
Ir1 0.000 0.596 0.237
# * Fermi-level density of states: 0.4525 states/eV per atom


The calculated energies rank the structures as follows, beginning with the most stable: x), w).


w) # PBE-GGA AcLaBi, relaxed
data_AcLaBi
_chemical_formula_sum 'Ac4 La4 Bi4'
_symmetry_space_group_name_H-M 'F -4 3 m'
_symmetry_Int_Tables_number 216
_symmetry_space_group_name_Hall 'F -4 2 3'
_cell_length_a 7.868
_cell_length_b 7.868
_cell_length_c 7.868
_cell_angle_alpha 90.00
_cell_angle_beta 90.00
_cell_angle_gamma 90.00
loop_
_atom_site_label
_atom_site_fract_x
_atom_site_fract_y
_atom_site_fract_z
Ac1 0.000 0.000 0.000
La1 0.000 0.000 0.500
Bi1 0.250 0.250 0.750
# * Fermi-level density of states: 1.0212 states/eV per atom


x) # PBE-GGA AcLaBi, relaxed
data_AcLaBi
_chemical_formula_sum 'Ac1 La1 Bi1'
_symmetry_space_group_name_H-M 'P 3 m 1'
_symmetry_Int_Tables_number 156
_cell_length_a 5.5164
_cell_length_b 5.5164
_cell_length_c 4.4112
_cell_angle_alpha 90.00
_cell_angle_beta 90.00
_cell_angle_gamma 120.00
loop_
_symmetry_equiv_pos_as_xyz
'x,y,z'
'-y,x-y,z'
'-x+y,-x,z'
'-y,-x,z'
'-x+y,y,z'
'x,x-y,z'
loop_
_atom_site_label
_atom_site_fract_x
_atom_site_fract_y
_atom_site_fract_z
Ac1 0.0000 0.0000 0.0000
La1 0.3333 0.6667 0.4779
Bi1 0.6667 0.3333 0.6172
# * Fermi-level density of states: 1.3617 states/eV per atom


The calculated energies rank the structures as follows, beginning with the most stable: w), x).


w) # PBE-GGA AcLaBi, relaxed
data_AcLaBi
_chemical_formula_sum 'Ac4 La4 Bi4'
_symmetry_space_group_name_H-M 'I 4/m m m'
_symmetry_Int_Tables_number 139
_symmetry_space_group_name_Hall '-I 4 2'
_cell_length_a 4.484
_cell_length_b 4.484
_cell_length_c 27.340
_cell_angle_alpha 90.00
_cell_angle_beta 90.00
_cell_angle_gamma 90.00
loop_
_atom_site_label
_atom_site_fract_x
_atom_site_fract_y
_atom_site_fract_z
Ac1 0.000 0.000 0.203
La1 0.000 0.000 0.401
Bi1 0.000 0.000 0.076
# * Fermi-level density of states: 1.0249 states/eV per atom


x) # PBE-GGA AcLaBi, relaxed
data_AcLaBi
_chemical_formula_sum 'Ac2 La2 Bi2'
_symmetry_space_group_name_H-M 'I 4 m m'
_symmetry_Int_Tables_number 107
_symmetry_space_group_name_Hall 'I 4 -2'
_cell_length_a 4.366
_cell_length_b 4.366
_cell_length_c 11.358
_cell_angle_alpha 90.00
_cell_angle_beta 90.00
_cell_angle_gamma 90.00
loop_
_atom_site_label
_atom_site_fract_x
_atom_site_fract_y
_atom_site_fract_z
Ac1 0.000 0.000 0.000
La1 0.000 0.000 0.697
Bi1 0.000 0.000 0.335
# * Fermi-level density of states: 1.4007 states/eV per atom


The calculated energies rank the structures as follows, beginning with the most stable: x), w).


w) # PBE-GGA Li2AcBi, relaxed
data_Li2AcBi
_chemical_formula_sum 'Li8 Ac4 Bi4'
_symmetry_space_group_name_H-M 'F m -3 m'
_symmetry_Int_Tables_number 225
_symmetry_space_group_name_Hall '-F 4 2 3'
_cell_length_a 7.441
_cell_length_b 7.441
_cell_length_c 7.441
_cell_angle_alpha 90.00
_cell_angle_beta 90.00
_cell_angle_gamma 90.00
loop_
_atom_site_label
_atom_site_fract_x
_atom_site_fract_y
_atom_site_fract_z
Li1 0.250 0.250 0.250
Ac1 0.000 0.000 0.000
Bi1 0.000 0.000 0.500
# * Fermi-level density of states: 0.6752 states/eV per atom


x) # PBE-GGA Li2AcBi, relaxed
data_Li2AcBi
_chemical_formula_sum 'Li2 Ac1 Bi1'
_symmetry_space_group_name_H-M 'P 4/m m m'
_symmetry_Int_Tables_number 123
_symmetry_space_group_name_Hall '-P 4 2'
_cell_length_a 4.820
_cell_length_b 4.820
_cell_length_c 5.172
_cell_angle_alpha 90.00
_cell_angle_beta 90.00
_cell_angle_gamma 90.00
loop_
_atom_site_label
_atom_site_fract_x
_atom_site_fract_y
_atom_site_fract_z
Li1 0.000 0.500 0.000
Ac1 0.000 0.000 0.500
Bi1 0.500 0.500 0.500
# * Fermi-level density of states: 0.4186 states/eV per atom


y) # PBE-GGA Li2AcBi, relaxed
data_Li2AcBi
_chemical_formula_sum 'Li6 Ac3 Bi3'
_symmetry_space_group_name_H-M 'R -3 m'
_symmetry_Int_Tables_number 166
_symmetry_space_group_name_Hall '-R 3 2"'
_cell_length_a 4.6072
_cell_length_b 4.6072
_cell_length_c 17.2334
_cell_angle_alpha 90.00
_cell_angle_beta 90.00
_cell_angle_gamma 120.00
loop_
_atom_site_label
_atom_site_fract_x
_atom_site_fract_y
_atom_site_fract_z
Li1 0.0000 0.0000 0.2067
Ac1 0.0000 0.0000 0.0000
Bi1 0.0000 0.0000 0.5000
# * Fermi-level density of states: 0.4692 states/eV per atom


The calculated energies rank the structures as follows, beginning with the most stable: y), x), w).


w) # PBE-GGA Li3AcBi2, relaxed
data_Li3AcBi2
_chemical_formula_sum 'Li12 Ac4 Bi8'
_symmetry_space_group_name_H-M 'C 1 2/m 1'
_symmetry_Int_Tables_number 12
_cell_length_a 17.437
_cell_length_b 4.656
_cell_length_c 8.622
_cell_angle_alpha 90.00
_cell_angle_beta 115.49
_cell_angle_gamma 90.00
loop_
_symmetry_equiv_pos_as_xyz
'x,y,z'
'-x,-y,-z'
'-x,y,-z'
'x,-y,z'
'x+1/2,y+1/2,z'
'-x+1/2,-y+1/2,-z'
'-x+1/2,y+1/2,-z'
'x+1/2,-y+1/2,z'
loop_
_atom_site_label
_atom_site_fract_x
_atom_site_fract_y
_atom_site_fract_z
Li1 0.062 0.000 0.415
Li2 0.098 0.500 0.651
Li3 0.197 0.500 0.483
Ac1 0.131 0.000 0.043
Bi1 0.027 0.500 0.226
Bi2 0.212 0.000 0.730
# * Fermi-level density of states: 0.1472 states/eV per atom


x) # PBE-GGA Li3AcBi2, relaxed
data_Li3AcBi2
_chemical_formula_sum 'Li18 Ac6 Bi12'
_symmetry_space_group_name_H-M 'C 1 2/m 1'
_symmetry_Int_Tables_number 12
_cell_length_a 18.193
_cell_length_b 4.669
_cell_length_c 11.311
_cell_angle_alpha 90.00
_cell_angle_beta 100.24
_cell_angle_gamma 90.00
loop_
_symmetry_equiv_pos_as_xyz
'x,y,z'
'-x,-y,-z'
'-x,y,-z'
'x,-y,z'
'x+1/2,y+1/2,z'
'-x+1/2,-y+1/2,-z'
'-x+1/2,y+1/2,-z'
'x+1/2,-y+1/2,z'
loop_
_atom_site_label
_atom_site_fract_x
_atom_site_fract_y
_atom_site_fract_z
Li1 0.000 0.000 0.000
Li2 0.053 0.500 0.838
Li3 0.120 0.000 0.723
Li4 0.180 0.000 0.486
Li5 0.208 0.500 0.899
Ac1 0.000 0.500 0.500
Ac2 0.172 0.500 0.214
Bi1 0.043 0.000 0.296
Bi2 0.146 0.000 0.980
Bi3 0.190 0.500 0.640
# * Fermi-level density of states: 0.0485 states/eV per atom


The calculated energies rank the structures as follows, beginning with the most stable: x), w).


w) # PBE-GGA Li3AcBi3, relaxed
data_Li3AcBi3
_chemical_formula_sum 'Li6 Ac2 Bi6'
_symmetry_space_group_name_H-M 'P m -3 n'
_symmetry_Int_Tables_number 223
_symmetry_space_group_name_Hall '-P 4n 2 3'
_cell_length_a 7.362
_cell_length_b 7.362
_cell_length_c 7.362
_cell_angle_alpha 90.00
_cell_angle_beta 90.00
_cell_angle_gamma 90.00
loop_
_atom_site_label
_atom_site_fract_x
_atom_site_fract_y
_atom_site_fract_z
Li1 0.000 0.250 0.500
Ac1 0.000 0.000 0.000
Bi1 0.000 0.500 0.250
# * Fermi-level density of states: 0.6197 states/eV per atom


x) # PBE-GGA Li3AcBi3, relaxed
data_Li3AcBi3
_chemical_formula_sum 'Li18 Ac6 Bi18'
_symmetry_space_group_name_H-M 'R -3'
_symmetry_Int_Tables_number 148
_symmetry_space_group_name_Hall '-R 3'
_cell_length_a 7.1527
_cell_length_b 7.1527
_cell_length_c 26.6923
_cell_angle_alpha 90.00
_cell_angle_beta 90.00
_cell_angle_gamma 120.00
loop_
_atom_site_label
_atom_site_fract_x
_atom_site_fract_y
_atom_site_fract_z
Li1 0.0359 0.2690 0.1919
Ac1 0.0000 0.0000 0.3109
Bi1 0.0129 0.4372 0.7485
# * Fermi-level density of states: 0.3919 states/eV per atom


The calculated energies rank the structures as follows, beginning with the most stable: x), w).


w) # PBE-GGA AcLu2Bi, relaxed
data_AcLu2Bi
_chemical_formula_sum 'Ac1 Lu2 Bi1'
_symmetry_space_group_name_H-M 'P 4/m m m'
_symmetry_Int_Tables_number 123
_symmetry_space_group_name_Hall '-P 4 2'
_cell_length_a 5.000
_cell_length_b 5.000
_cell_length_c 5.060
_cell_angle_alpha 90.00
_cell_angle_beta 90.00
_cell_angle_gamma 90.00
loop_
_atom_site_label
_atom_site_fract_x
_atom_site_fract_y
_atom_site_fract_z
Ac1 0.000 0.000 0.000
Lu1 0.000 0.500 0.500
Bi1 0.500 0.500 0.000
# * Fermi-level density of states: 1.3153 states/eV per atom


x) # PBE-GGA AcLu2Bi, relaxed
data_AcLu2Bi
_chemical_formula_sum 'Ac3 Lu6 Bi3'
_symmetry_space_group_name_H-M 'R -3 m'
_symmetry_Int_Tables_number 166
_symmetry_space_group_name_Hall '-R 3 2"'
_cell_length_a 3.6272
_cell_length_b 3.6272
_cell_length_c 36.3052
_cell_angle_alpha 90.00
_cell_angle_beta 90.00
_cell_angle_gamma 120.00
loop_
_atom_site_label
_atom_site_fract_x
_atom_site_fract_y
_atom_site_fract_z
Ac1 0.0000 0.0000 0.0000
Lu1 0.0000 0.0000 0.4144
Bi1 0.0000 0.0000 0.5000
# * Fermi-level density of states: 0.6695 states/eV per atom


The calculated energies rank the structures as follows, beginning with the most stable: w), x).